3
Lattice="-3.573 0.829 0.024 -0.598 -2.658 2.698 0.842 3.602 1.011" Properties=species:S:1:pos:R:3 comment="Be2Pb (SCAN, single point on PBEsol structure)" total_magnetization_mub_per_cell=0.0 total_energy_ev_per_atom=-27.54 relative_energy_mev_per_atom=0.0 e_form_ev_per_atom=0.623 space_group="P6/mmm, No. 191" pbc="T T T"
Pb 0.000 0.000 0.000
Be -1.424 1.930 1.585
Be -1.905 -0.157 2.148

=====

5
Lattice="5.069 0.000 0.000 0.000 5.069 0.000 0.000 0.000 7.065" Properties=species:S:1:pos:R:3 comment="CsTlP2Se (SCAN, single point on PBEsol structure)" total_magnetization_mub_per_cell=2.4 total_energy_ev_per_atom=-29.42 formation_energy_uncorrected_mev_per_atom=791 space_group="P4/mmm, No. 123" pbc="T T T"
Cs 0.000 0.000 3.532
P 0.000 2.534 0.000
P 2.534 0.000 0.000
Tl 0.000 0.000 0.000
Se 2.534 2.534 3.532

=====

5
Lattice="-1.247 2.818 -3.369 -3.596 1.356 2.465 2.522 3.327 1.849" Properties=species:S:1:pos:R:3 comment="Ta3MnSe (SCAN, single point on PBEsol structure)" total_magnetization_mub_per_cell=0.0 total_energy_ev_per_atom=-46.74 formation_energy_uncorrected_mev_per_atom=880 space_group="Pm-3m, No. 221" pbc="T T T"
Mn 0.000 0.000 0.000
Se -1.161 3.751 0.472
Ta -1.798 0.678 1.233
Ta 1.261 1.663 0.925
Ta -0.623 1.409 -1.685

=====

5
Lattice="-3.021 2.442 1.603 -3.615 -3.661 -1.237 0.678 -2.268 4.732" Properties=species:S:1:pos:R:3 comment="RuPtPb2S (SCAN, single point on PBEsol structure)" total_magnetization_mub_per_cell=0.0 total_energy_ev_per_atom=-52.82 formation_energy_uncorrected_mev_per_atom=423 space_group="P4/mmm, No. 123" pbc="T T T"
Pb 0.339 -1.134 2.366
Pb -1.807 -1.830 -0.618
Ru 0.000 0.000 0.000
S -1.511 1.221 0.801
Pt -2.979 -1.743 2.549

=====

4
Lattice="-0.267 1.497 2.933 -5.033 -1.321 -1.644 1.365 -6.205 3.292" Properties=species:S:1:pos:R:3 comment="KTl2In (SCAN, single point on PBEsol structure)" total_magnetization_mub_per_cell=0.0 total_energy_ev_per_atom=-46.69 e_form_ev_per_atom=-0.084 space_group="Cm, No. 8" pbc="T T T"
Tl -3.953 -5.795 4.460
Tl -1.566 -4.880 2.349
K -2.381 -1.080 2.196
In 0.580 -2.657 3.270

=====

5
Lattice="3.860 0.000 0.000 0.000 3.860 0.000 -1.930 -1.930 7.587" Properties=species:S:1:pos:R:3 comment="CdTe2Pt2 (SCAN, single point on PBEsol structure)" total_magnetization_mub_per_cell=0.0 total_energy_ev_per_atom=-49.14 formation_energy_uncorrected_mev_per_atom=-81 space_group="I4/mmm, No. 139" pbc="T T T"
Te 0.000 0.000 5.711
Te 1.930 1.930 1.876
Pt 0.000 1.930 3.793
Pt 1.930 0.000 3.793
Cd 0.000 0.000 0.000

=====

5
Lattice="-0.428 1.876 -4.662 -5.025 -0.083 0.428 0.088 5.033 2.018" Properties=species:S:1:pos:R:3 comment="YHfZr2Cu (SCAN, single point on PBEsol structure)" total_magnetization_mub_per_cell=0.0 total_energy_ev_per_atom=-32.24 e_form_ev_per_atom=1.186 space_group="P4/mmm, No. 123" pbc="T T T"
Y 0.044 2.516 1.009
Hf 0.000 0.000 0.000
Cu -2.682 3.413 -1.108
Zr -2.512 -0.042 0.214
Zr -0.214 0.938 -2.331

=====

5
Lattice="4.787 0.000 0.000 0.000 4.787 0.000 0.000 0.000 5.031" Properties=species:S:1:pos:R:3 comment="YCrGaOs2 (SCAN, single point on PBEsol structure)" total_magnetization_mub_per_cell=3.5 total_energy_ev_per_atom=-38.98 e_form_ev_per_atom=2.285 space_group="P4/mmm, No. 123" pbc="T T T"
Y 0.000 0.000 0.000
Cr 2.393 2.393 2.516
Os 0.000 2.393 0.000
Os 2.393 0.000 0.000
Ga 0.000 0.000 2.516

=====

4
Lattice="4.832 0.000 0.000 2.416 4.185 0.000 2.416 1.395 3.945" Properties=species:S:1:pos:R:3 comment="ScTl2Ir (SCAN, single point on PBEsol structure)" total_magnetization_mub_per_cell=0.0 total_energy_ev_per_atom=-57.50 e_form_ev_per_atom=0.015 space_group="F-43m, No. 216" pbc="T T T"
Ir 4.832 2.790 1.973
Sc 2.416 1.395 0.986
Tl 0.000 0.000 0.000
Tl 7.248 4.185 2.959

=====

4
Lattice="-1.102 -0.867 5.137 -2.786 -4.338 -1.330 5.629 0.122 -1.532" Properties=species:S:1:pos:R:3 comment="K2TlHg (SCAN, single point on PBEsol structure)" total_magnetization_mub_per_cell=0.0 total_energy_ev_per_atom=-39.48 relative_energy_mev_per_atom=45.9 e_form_ev_per_atom=-0.187 space_group="I-4m2, No. 119" pbc="T T T"
K 0.000 0.000 0.000
K 1.292 -1.674 2.754
Tl -1.944 -2.603 1.903
Hg 0.449 -3.410 -0.479

=====

4
Lattice="4.733 0.000 0.000 0.000 4.940 0.000 0.000 0.000 4.940" Properties=species:S:1:pos:R:3 comment="SrInPb2 (SCAN, single point on PBEsol structure)" total_magnetization_mub_per_cell=0.0 total_energy_ev_per_atom=-52.27 e_form_ev_per_atom=-0.459 space_group="P4/mmm, No. 123" pbc="T T T"
Pb 0.000 0.000 2.470
Pb 0.000 2.470 0.000
Sr 2.367 2.470 2.470
In 2.367 0.000 0.000

=====

3
Lattice="-0.417 -3.257 -2.209 4.237 0.178 -1.062 -1.275 -2.234 3.535" Properties=species:S:1:pos:R:3 comment="LaAlTc (SCAN, single point on PBEsol structure)" total_magnetization_mub_per_cell=0.0 total_energy_ev_per_atom=-28.70 e_form_ev_per_atom=-0.059 space_group="P-6m2, No. 187" pbc="T T T"
Al -0.208 -1.628 -1.104
Tc 2.191 -2.254 -0.634
La 0.562 -1.430 2.002